A relaxed structure of TbY3HoEr. Source: Alexandria via LeMat-Bulk, functional PBE.

Symmetry ... Cmcm
Calculated formation energy ... 0.53 kcal/mol of atoms

abc: 7.945 7.945 10.037
angles: 90.00 90.00 143.17
Atoms (fractional coordinates):
Tb1 0.000 0.000 0.000
Tb2 0.000 0.000 0.500
Y1 0.166 0.834 0.750
Y2 0.334 0.666 0.000
Y3 0.334 0.666 0.500
Y4 0.666 0.334 0.000
Y5 0.666 0.334 0.500
Y6 0.834 0.166 0.250
Ho1 0.499 0.501 0.750
Ho2 0.501 0.499 0.250
Er1 0.166 0.834 0.250
Er2 0.834 0.166 0.750